Sr2CdHg PBE optimized geometry; total magnetic moment = 0.00 μB per cell; total energy = -1.4892 eV/atom; V = 133.0 Å³/f.u.
1.0
-3.6807 -1.5876 5.0742
-2.3662 -4.9717 3.3910
3.4591 -0.8725 4.4552
Cd Sr Hg
1 2 1
Cartesian
-1.1788 -3.5331 6.1825
3.1155 -0.9762 4.3954
-0.3577 -1.7799 3.2990
-2.0017 -5.7310 9.9588